[1]
First-principles (PBE-GGA) data for crystalline SrHf3Au4O12 at its relaxed geometry, as listed in Alexandria.

```
data_SrHf3Au4O12
_symmetry_space_group_name_H-M 'R 3 2'
_symmetry_Int_Tables_number 155
_symmetry_space_group_name_Hall 'R 3 2"'
_cell_length_a 11.5563
_cell_length_b 11.5563
_cell_length_c 8.0704
_cell_angle_alpha 90.00
_cell_angle_beta 90.00
_cell_angle_gamma 120.00
loop_
_atom_site_label
_atom_site_type_symbol
_atom_site_fract_x
_atom_site_fract_y
_atom_site_fract_z
_atom_site_occupancy
Sr1 Sr 0.0000 0.0000 0.0000 1
Hf1 Hf 0.0000 0.5701 0.0000 1
Au1 Au 0.0000 0.0000 0.5000 1
Au2 Au 0.0000 0.3787 0.5000 1
O1 O 0.0000 0.6102 0.5000 1
O2 O 0.0000 0.8255 0.5000 1
O3 O 0.0593 0.1969 0.2093 1
```

Properties
volume	15.556	A^3/atom
N(E_F)	0.980	states/eV/atom
electronic total energy	-0.252	hartree per atom
crystal system	trigonal
magnetic moment	2.4	μB/f.u.

***

[2]
First-principles (PBE-GGA) data for crystalline HfTa2AuO at its relaxed geometry, as listed in Alexandria.

```
data_HfTa2AuO
_symmetry_space_group_name_H-M 'P 4/m m m'
_symmetry_Int_Tables_number 123
_symmetry_space_group_name_Hall '-P 4 2'
_cell_length_a 4.9677
_cell_length_b 4.9677
_cell_length_c 5.0080
_cell_angle_alpha 90.00
_cell_angle_beta 90.00
_cell_angle_gamma 90.00
loop_
_atom_site_label
_atom_site_type_symbol
_atom_site_fract_x
_atom_site_fract_y
_atom_site_fract_z
_atom_site_occupancy
Hf1 Hf 0.0000 0.0000 0.0000 1
Ta1 Ta 0.0000 0.5000 0.0000 1
Au1 Au 0.0000 0.0000 0.5000 1
O1 O 0.5000 0.5000 0.5000 1
```

Properties
volume	24.718	A^3/atom
N(E_F)	1.158	states/eV/atom
electronic total energy	-0.229	hartree per atom
crystal system	tetragonal
magnetic moment	0.0	μB/f.u.

***

[3]
First-principles (PBE-GGA) data for crystalline HfTeAuO6 at its relaxed geometry, as listed in Alexandria.

```
data_HfTeAuO6
_symmetry_space_group_name_H-M 'P -3 1 c'
_symmetry_Int_Tables_number 163
_symmetry_space_group_name_Hall '-P 3 2c'
_cell_length_a 5.4364
_cell_length_b 5.4364
_cell_length_c 9.5381
_cell_angle_alpha 90.00
_cell_angle_beta 90.00
_cell_angle_gamma 120.00
loop_
_atom_site_label
_atom_site_type_symbol
_atom_site_fract_x
_atom_site_fract_y
_atom_site_fract_z
_atom_site_occupancy
Hf1 Hf 0.3333 0.6667 0.2500 1
Te1 Te 0.3333 0.6667 0.7500 1
Au1 Au 0.0000 0.0000 0.0000 1
O1 O 0.0184 0.3761 0.6384 1
```

Properties
volume	13.563	A^3/atom
N(E_F)	0.506	states/eV/atom
electronic total energy	-0.240	hartree per atom
crystal system	trigonal
magnetic moment	0.0	μB/f.u.

***

[4]
First-principles (PBE-GGA) data for crystalline Hf2TiAuO at its relaxed geometry, as listed in Alexandria.

```
data_Hf2TiAuO
_symmetry_space_group_name_H-M 'P 4/m m m'
_symmetry_Int_Tables_number 123
_symmetry_space_group_name_Hall '-P 4 2'
_cell_length_a 4.4302
_cell_length_b 4.4302
_cell_length_c 4.0921
_cell_angle_alpha 90.00
_cell_angle_beta 90.00
_cell_angle_gamma 90.00
loop_
_atom_site_label
_atom_site_type_symbol
_atom_site_fract_x
_atom_site_fract_y
_atom_site_fract_z
_atom_site_occupancy
Hf1 Hf 0.0000 0.5000 0.0000 1
Ti1 Ti 0.0000 0.0000 0.5000 1
Au1 Au 0.5000 0.5000 0.5000 1
O1 O 0.0000 0.0000 0.0000 1
```

Properties
volume	16.063	A^3/atom
N(E_F)	0.869	states/eV/atom
electronic total energy	-0.309	hartree per atom
crystal system	tetragonal
magnetic moment	0.3	μB/f.u.

***

[5]
First-principles (PBE-GGA) data for crystalline HfOs3Au at its relaxed geometry, as listed in Alexandria.

```
data_HfOs3Au
_symmetry_space_group_name_H-M 'P m -3 m'
_symmetry_Int_Tables_number 221
_symmetry_space_group_name_Hall '-P 4 2 3'
_cell_length_a 4.7844
_cell_length_b 4.7844
_cell_length_c 4.7844
_cell_angle_alpha 90.00
_cell_angle_beta 90.00
_cell_angle_gamma 90.00
loop_
_atom_site_label
_atom_site_type_symbol
_atom_site_fract_x
_atom_site_fract_y
_atom_site_fract_z
_atom_site_occupancy
Hf1 Hf 0.0000 0.0000 0.0000 1
Os1 Os 0.0000 0.0000 0.5000 1
Au1 Au 0.5000 0.5000 0.5000 1
```

Properties
volume	21.904	A^3/atom
N(E_F)	1.304	states/eV/atom
crystal system	cubic
formation energy from the elements	2390	meV per atom
magnetic moment	2.7	μB/f.u.

***

[6]
First-principles (PBE-GGA) data for crystalline HfOs4Au2 at its relaxed geometry, as listed in Alexandria.

```
data_HfOs4Au2
_symmetry_space_group_name_H-M 'I 4/m m m'
_symmetry_Int_Tables_number 139
_symmetry_space_group_name_Hall '-I 4 2'
_cell_length_a 4.8064
_cell_length_b 4.8064
_cell_length_c 13.0610
_cell_angle_alpha 90.00
_cell_angle_beta 90.00
_cell_angle_gamma 90.00
loop_
_atom_site_label
_atom_site_type_symbol
_atom_site_fract_x
_atom_site_fract_y
_atom_site_fract_z
_atom_site_occupancy
Hf1 Hf 0.0000 0.0000 0.0000 1
Os1 Os 0.0000 0.0000 0.1957 1
Os2 Os 0.0000 0.5000 0.0000 1
Au1 Au 0.0000 0.0000 0.3925 1
```

Properties
volume	21.552	A^3/atom
N(E_F)	1.249	states/eV/atom
crystal system	tetragonal
formation energy from the elements	2154	meV per atom
magnetic moment	5.2	μB/f.u.

***

Among the records above, which one has the highest magnetic moment?
HfOs4Au2